The following is a GGA+U calculation of a relaxed SrMn2Si2O10 crystal, from Alexandria.

Geometry as CIF:
```
data_SrMn2Si2O10
_space_group_name_H-M_alt 'P 1 21/m 1'
_space_group_IT_number 11
_cell_length_a 5.335
_cell_length_b 13.553
_cell_length_c 5.570
_cell_angle_alpha 90.00
_cell_angle_beta 111.27
_cell_angle_gamma 90.00
loop_
_space_group_symop_operation_xyz
'x,y,z'
'-x,-y,-z'
'-x,y+1/2,-z'
'x,-y+1/2,z'
loop_
_atom_site_label
_atom_site_fract_x
_atom_site_fract_y
_atom_site_fract_z
_atom_site_occupancy
Sr1 0.149 0.250 0.309 1
Mn1 0.000 0.000 0.000 1
Mn2 0.500 0.000 0.500 1
Si1 0.493 0.633 0.047 1
O1 0.076 0.750 0.328 1
O2 0.137 0.545 0.348 1
O3 0.171 0.611 0.906 1
O4 0.336 0.074 0.103 1
O5 0.395 0.120 0.643 1
O6 0.467 0.250 0.029 1
```

Density of states at the Fermi level in states/eV per atom: 0.34
Total energy in eV for the cell shown: -209.5